The following is a PBE calculation of a relaxed structure of Ni2Os3, from Alexandria via LeMat-Bulk.

For the density of states at the Fermi level, the calculation gives 4.85 states/eV/f.u. As for the magnetization: 0.00 μB per formula unit. The value obtained for the energy above the most stable polymorph in this dataset is 460 meV/atom. The calculation puts the formation energy at 3.31 eV/f.u.

The space group is P-3m1 (No. 164) and the conventional cell measures 4.0101, 4.0101 and 5.0634 Å, with angles of 90.00, 90.00 and 120.00 degrees. The distinct sites, in fractional coordinates, are Ni at (0.3333, 0.6667, 0.3689), Os at (0.0000, 0.0000, 0.5000) and Os at (0.3333, 0.6667, 0.8867).